## CoSbF2 (GGA+U)

Data for a relaxed CoSbF2 crystal.

Cell and atoms, written as POSCAR:
```
CoSbF2
1.0
1.581 0.913 9.304
-1.581 0.913 9.304
0.000 -1.826 9.304
Co Sb F
1 1 2
direct
0.000 0.000 0.000
0.500 0.500 0.500
0.368 0.368 0.368
0.632 0.632 0.632
```

Values from the calculation:
E_tot, eV per formula unit: -18.5
Theoretical density, g cm⁻³: 4.51
SG: No. 166
ΔE to the lowest computed polymorph, meV per atom: 0